# SrNiPt2O8

Crystalline SrNiPt2O8 at its relaxed geometry (PBE with a Hubbard U, Alexandria via LeMat-Bulk).

Summary:
crystal system: trigonal
total DFT energy (no corrections): -62.7 eV per cell

a = 5.4404 Å, b = 5.4404 Å, c = 6.1766 Å
α = 90.00°, β = 90.00°, γ = 120.00°
Space group P-3 (No. 147)
One atom of each set of equivalent atoms:
1 Sr 0.0000 0.0000 0.0000 x1
2 Ni 0.0000 0.0000 0.5000 x1
3 Pt 0.3333 0.6667 0.4496 x2
4 O 0.0543 0.3621 0.6462 x6
5 O 0.3333 0.6667 0.1362 x2

=====

# SrNiPtO4

Crystalline SrNiPtO4 at its relaxed geometry (PBE with a Hubbard U, Alexandria via LeMat-Bulk).

Summary:
crystal system: orthorhombic
total DFT energy (no corrections): -158.0 eV per cell

a = 6.235 Å, b = 6.384 Å, c = 9.606 Å
α = 90.00°, β = 90.00°, γ = 90.00°
Space group Imma (No. 74)
One atom of each set of equivalent atoms:
1 Sr 0.000 0.250 0.137 x4
2 Ni 0.250 0.250 0.750 x4
3 Pt 0.000 0.000 0.500 x4
4 O 0.000 0.033 0.714 x8
5 O 0.208 0.250 0.521 x8